Record 1
Entry from OQMD: a relaxed structure of PmScGa (PBE-GGA).

Unit cell a=4.874 b=4.874 c=4.874 alpha=60.00 beta=60.00 gamma=60.00
Element x y z (fractional)
Pm 0.000 0.000 0.000
Sc 0.500 0.500 0.500
Ga 0.250 0.250 0.250

## Properties
Its space group is F-43m. The excess energy over the best structure of this formula in the dataset comes out at 0 kJ/mol of formula units. Its total DFT energy (no corrections) is -4.93 eV per atom.

=====

Record 2
Entry from OQMD: a relaxed structure of PmScGa (PBE-GGA).

Unit cell a=4.929 b=4.929 c=4.929 alpha=60.00 beta=60.00 gamma=60.00
Element x y z (fractional)
Pm 0.000 0.000 0.000
Sc 0.250 0.250 0.250
Ga 0.750 0.750 0.750

## Properties
Its space group is F-43m. The excess energy over the best structure of this formula in the dataset comes out at 184 kJ/mol of formula units. Its total DFT energy (no corrections) is -4.30 eV per atom.

=====

Record 3
Entry from OQMD: a relaxed structure of Pm2Ga3Si (PBE-GGA).

Unit cell a=8.410 b=8.398 c=5.959 alpha=69.34 beta=69.13 gamma=41.53
Element x y z (fractional)
Pm 0.247 0.753 0.247
Pm 0.250 0.250 0.250
Pm 0.750 0.750 0.750
Pm 0.753 0.247 0.753
Ga 0.165 0.667 0.835
Ga 0.332 0.332 0.668
Ga 0.333 0.835 0.667
Ga 0.667 0.165 0.333
Ga 0.668 0.668 0.332
Ga 0.835 0.333 0.165
Si 0.167 0.167 0.833
Si 0.833 0.833 0.167

## Properties
Its space group is Fmmm. Its total DFT energy (no corrections) is -4.71 eV per atom.

=====

Record 4
Entry from OQMD: a relaxed structure of PmGaSi (PBE-GGA).

Unit cell a=4.631 b=4.631 c=4.631 alpha=60.00 beta=60.00 gamma=60.00
Element x y z (fractional)
Pm 0.000 0.000 0.000
Ga 0.500 0.500 0.500
Si 0.750 0.750 0.750

## Properties
Its space group is F-43m. The excess energy over the best structure of this formula in the dataset comes out at 135 kJ/mol of formula units. Its total DFT energy (no corrections) is -4.62 eV per atom.

=====

Record 5
Entry from OQMD: a relaxed structure of Pm2GaSi (PBE-GGA).

Unit cell a=5.974 b=4.035 c=8.649 alpha=90.00 beta=108.19 gamma=90.00
Element x y z (fractional)
Pm 0.207 0.250 0.428
Pm 0.284 0.750 0.069
Pm 0.716 0.250 0.931
Pm 0.793 0.750 0.572
Ga 0.359 0.750 0.715
Ga 0.641 0.250 0.285
Si 0.143 0.250 0.787
Si 0.857 0.750 0.213

## Properties
Its space group is P2_1/m. Its total DFT energy (no corrections) is -5.20 eV per atom.

=====

Record 6
Entry from OQMD: a relaxed structure of PmGaSi (PBE-GGA).

Unit cell a=4.163 b=4.163 c=4.164 alpha=90.00 beta=90.00 gamma=120.00
Element x y z (fractional)
Pm 0.000 0.000 0.000
Ga 0.333 0.667 0.500
Si 0.667 0.333 0.500

## Properties
Its space group is P-6m2. The excess energy over the best structure of this formula in the dataset comes out at 0 kJ/mol of formula units. Its total DFT energy (no corrections) is -5.09 eV per atom.

=====

Record 7
Entry from OQMD: a relaxed structure of SrPmGa (PBE-GGA).

Unit cell a=5.280 b=5.280 c=5.280 alpha=60.00 beta=60.00 gamma=60.00
Element x y z (fractional)
Sr 0.000 0.000 0.000
Pm 0.500 0.500 0.500
Ga 0.750 0.750 0.750

## Properties
Its space group is F-43m. The excess energy over the best structure of this formula in the dataset comes out at 0 kJ/mol of formula units. Its total DFT energy (no corrections) is -3.29 eV per atom.

=====

Record 8
Entry from OQMD: a relaxed structure of TbPmGa3 (PBE-GGA).

Unit cell a=13.051 b=13.051 c=4.196 alpha=90.00 beta=90.00 gamma=161.16
Element x y z (fractional)
Tb 0.204 0.796 0.750
Tb 0.796 0.204 0.250
Pm 0.073 0.927 0.250
Pm 0.927 0.073 0.750
Ga 0.324 0.676 0.750
Ga 0.380 0.620 0.250
Ga 0.476 0.524 0.250
Ga 0.524 0.476 0.750
Ga 0.620 0.380 0.750
Ga 0.676 0.324 0.250

## Properties
Its space group is Cmcm. Its total DFT energy (no corrections) is -4.36 eV per atom.

=====

Record 9
Entry from OQMD: a relaxed structure of PmGaTc (PBE-GGA).

Unit cell a=4.546 b=4.546 c=4.546 alpha=60.00 beta=60.00 gamma=60.00
Element x y z (fractional)
Pm 0.000 0.000 0.000
Ga 0.250 0.250 0.250
Tc 0.500 0.500 0.500

## Properties
Its space group is F-43m. The excess energy over the best structure of this formula in the dataset comes out at 0 kJ/mol of formula units. Its total DFT energy (no corrections) is -5.83 eV per atom.

=====

Record 10
Entry from OQMD: a relaxed structure of PmGaTc (PBE-GGA).

Unit cell a=4.727 b=4.727 c=4.727 alpha=60.00 beta=60.00 gamma=60.00
Element x y z (fractional)
Pm 0.000 0.000 0.000
Ga 0.750 0.750 0.750
Tc 0.250 0.250 0.250

## Properties
Its space group is F-43m. The excess energy over the best structure of this formula in the dataset comes out at 216 kJ/mol of formula units. Its total DFT energy (no corrections) is -5.09 eV per atom.

=====

Record 11
Entry from OQMD: a relaxed structure of PmGaTe (PBE-GGA).

Unit cell a=5.115 b=5.115 c=5.115 alpha=60.00 beta=60.00 gamma=60.00
Element x y z (fractional)
Pm 0.000 0.000 0.000
Ga 0.500 0.500 0.500
Te 0.750 0.750 0.750

## Properties
Its space group is F-43m. The excess energy over the best structure of this formula in the dataset comes out at 0 kJ/mol of formula units. Its total DFT energy (no corrections) is -4.11 eV per atom.

=====

Record 12
Entry from OQMD: a relaxed structure of Pm5GaTe4 (PBE-GGA).

Unit cell a=7.700 b=7.700 c=7.700 alpha=99.55 beta=99.55 gamma=131.93
Element x y z (fractional)
Pm 0.000 0.000 0.000
Pm 0.218 0.404 0.622
Pm 0.404 0.782 0.187
Pm 0.596 0.218 0.813
Pm 0.782 0.596 0.378
Ga 0.500 0.500 0.000
Te 0.094 0.697 0.791
Te 0.303 0.094 0.397
Te 0.697 0.906 0.603
Te 0.906 0.303 0.209

## Properties
Its space group is I4/m. Its total DFT energy (no corrections) is -5.23 eV per atom.